SiTc2Rh: relaxed, PBE.

The structure in CIF format:
```
data_SiTc2Rh
_chemical_formula_sum 'Si2 Tc4 Rh2'
_symmetry_space_group_name_H-M 'I m m 2'
_symmetry_Int_Tables_number 44
_cell_length_a 2.915
_cell_length_b 4.377
_cell_length_c 8.634
_cell_angle_alpha 90.00
_cell_angle_beta 90.00
_cell_angle_gamma 90.00
loop_
_symmetry_equiv_pos_as_xyz
'x,y,z'
'-x,-y,z'
'-x,y,z'
'x,-y,z'
'x+1/2,y+1/2,z+1/2'
'-x+1/2,-y+1/2,z+1/2'
'-x+1/2,y+1/2,z+1/2'
'x+1/2,-y+1/2,z+1/2'
loop_
_atom_site_label
_atom_site_fract_x
_atom_site_fract_y
_atom_site_fract_z
Si1 0.000 0.000 0.000
Tc1 0.000 0.000 0.499
Tc2 0.000 0.500 0.729
Rh1 0.000 0.500 0.280
```

## Properties
uncorrected formation energy	-1.3	eV per formula unit
size of the total moment	0.00	μB per formula unit